# 1
NaEuP4O12 | GGA-PBEsol | optimized geometry

Structure (POSCAR):
```
NaEuP4O12
1.0
7.217 -0.006 0.000
-0.094 9.877 0.000
0.000 0.000 13.114
O P Eu Na
48 16 4 4
direct
0.199 0.601 0.353 O
0.086 0.292 0.580 O
0.865 0.150 0.690 O
0.094 0.795 0.666 O
0.431 0.834 0.625 O
0.712 0.406 0.391 O
0.781 0.635 0.022 O
0.069 0.666 0.125 O
0.801 0.399 0.647 O
0.906 0.205 0.334 O
0.264 0.416 0.162 O
0.288 0.594 0.609 O
0.718 0.290 0.013 O
0.182 0.155 0.867 O
0.818 0.845 0.133 O
0.571 0.708 0.390 O
0.931 0.334 0.875 O
0.929 0.792 0.890 O
0.221 0.395 0.789 O
0.281 0.135 0.478 O
0.212 0.906 0.109 O
0.279 0.105 0.289 O
0.736 0.584 0.838 O
0.594 0.295 0.834 O
0.764 0.916 0.338 O
0.719 0.865 0.522 O
0.682 0.655 0.633 O
0.414 0.208 0.080 O
0.914 0.708 0.420 O
0.282 0.710 0.987 O
0.782 0.210 0.513 O
0.429 0.292 0.610 O
0.219 0.365 0.978 O
0.301 0.899 0.853 O
0.788 0.094 0.891 O
0.699 0.101 0.147 O
0.218 0.790 0.487 O
0.071 0.208 0.110 O
0.586 0.792 0.920 O
0.779 0.605 0.211 O
0.135 0.850 0.310 O
0.406 0.705 0.166 O
0.365 0.650 0.810 O
0.569 0.166 0.375 O
0.721 0.895 0.711 O
0.236 0.084 0.662 O
0.635 0.350 0.190 O
0.318 0.345 0.367 O
0.248 0.757 0.102 P
0.752 0.243 0.898 P
0.124 0.736 0.385 P
0.351 0.196 0.371 P
0.233 0.300 0.090 P
0.851 0.696 0.129 P
0.748 0.257 0.398 P
0.624 0.236 0.115 P
0.876 0.264 0.615 P
0.376 0.764 0.885 P
0.149 0.304 0.871 P
0.252 0.743 0.602 P
0.267 0.200 0.590 P
0.733 0.800 0.410 P
0.767 0.700 0.910 P
0.649 0.804 0.629 P
0.513 0.477 0.719 Eu
0.013 0.977 0.781 Eu
0.487 0.523 0.281 Eu
0.987 0.023 0.219 Eu
0.001 0.436 0.278 Na
0.501 0.936 0.222 Na
0.499 0.064 0.778 Na
0.999 0.564 0.722 Na
```

- Uncorrected energy: -7.8008 eV/atom
- ΔE_f (raw): -227 kJ per mole of atoms
- Space group: P2_1/c, No. 14

***

# 2
CoTeW2 | GGA-PBEsol | optimized geometry

Structure (POSCAR):
```
CoTeW2
1.0
2.905 0.000 -0.009
0.000 4.185 0.000
-1.327 0.000 5.197
W Te Co
2 1 1
direct
0.766 0.000 0.768 W
0.234 0.000 0.232 W
0.000 0.500 0.500 Te
0.500 0.500 0.000 Co
```

- Uncorrected energy: -9.0033 eV/atom
- ΔE_f (raw): 69 kJ per mole of atoms
- Space group: P2/m, No. 10

***

# 3
KLi2Mg | GGA-PBEsol | optimized geometry

Structure (POSCAR):
```
KLi2Mg
1.0
3.413 0.000 0.000
-1.706 5.099 0.012
0.000 -0.863 7.013
Li Mg K
2 1 1
direct
0.265 0.530 0.335 Li
0.735 0.470 0.665 Li
0.000 0.000 0.500 Mg
0.500 0.000 0.000 K
```

- Uncorrected energy: -1.5706 eV/atom
- Space group: C2/m, No. 12

***

# 4
KSi2Br | GGA-PBEsol | optimized geometry

Structure (POSCAR):
```
KSi2Br
1.0
-2.016 -1.945 2.650
1.239 -4.443 -2.318
5.500 2.641 3.317
Si K Br
2 1 1
direct
0.788 0.609 0.575 Si
0.212 0.391 0.425 Si
0.500 0.500 0.000 K
0.000 0.000 0.000 Br
```

- Excess energy over the best structure of this formula in the dataset: 0 meV per atom
- Uncorrected energy: -3.7132 eV/atom
- ΔE_f (raw): -9 kJ per mole of atoms
- Space group: C2/m, No. 12